No. 1
DFT (GGA-PBE) results for a relaxed ScCrTe2 crystal.

Summary:
SG: P4/mmm (123)
Formation energy from raw total energies, meV per atom: -349
Magnetization, μB per atom: 1.02

Lattice parameters (Å, degrees): 5.0192 5.0119 3.6116 90.00 90.00 90.00
Each line ends with the local moment (μB).
Atoms (fractional coordinates):
Te 0.0000 0.0000 0.0000  -0.11
Te 0.5000 0.5000 0.0000  -0.11
Sc 0.0000 0.5000 0.5000  0.07
Cr 0.5000 0.0000 0.5000  3.72

---

No. 2
DFT (GGA-PBE) results for a relaxed Sc2CrTe crystal.

Summary:
SG: Amm2 (38)
Formation energy from raw total energies, meV per atom: -346
Magnetization, μB per atom: 0.67

Lattice parameters (Å, degrees): 4.2842 3.7122 5.6950 70.96 90.00 90.00
Each line ends with the local moment (μB).
Atoms (fractional coordinates):
Sc 0.5000 0.2806 0.3139  -0.21
Sc 0.0000 0.9781 0.9187  -0.19
Te 0.0000 0.7009 0.4734  0.01
Cr 0.5000 0.5403 0.7940  3.05

---

No. 3
DFT (GGA-PBE) results for a relaxed Sc4CrTe crystal.

Summary:
SG: F-43m (216)
Formation energy from raw total energies, meV per atom: 356
Magnetization, μB per atom: 0.72

Lattice parameters (Å, degrees): 5.8718 5.8718 5.8718 60.00 60.00 60.00
Each line ends with the local moment (μB).
Atoms (fractional coordinates):
Cr 0.0000 0.0000 0.0000  3.73
Sc 0.3739 0.3739 0.8783  -0.02
Sc 0.8783 0.3739 0.3739  -0.02
Sc 0.3739 0.3739 0.3739  -0.02
Sc 0.3739 0.8783 0.3739  -0.02
Te 0.7500 0.7500 0.7500  0.00

---

No. 4
DFT (GGA-PBE) results for a relaxed ScCr4Te crystal.

Summary:
SG: F-43m (216)
Formation energy from raw total energies, meV per atom: 205
Magnetization, μB per atom: 0.00

Lattice parameters (Å, degrees): 4.9780 4.9780 4.9780 60.00 60.00 60.00
Atoms (fractional coordinates):
Sc 0.7500 0.7500 0.7500
Cr 0.3745 0.3745 0.3745
Cr 0.3745 0.3745 0.8765
Cr 0.8765 0.3745 0.3745
Cr 0.3745 0.8765 0.3745
Te 0.0000 0.0000 0.0000

---

No. 5
DFT (GGA-PBE) results for a relaxed Sc2Cr2Te crystal.

Summary:
SG: I4/mmm (139)
Formation energy from raw total energies, meV per atom: -6
Magnetization, μB per atom: 0.00

Lattice parameters (Å, degrees): 3.4258 3.4258 8.6253 78.55 78.55 90.00
Atoms (fractional coordinates):
Sc 0.6139 0.6139 0.7722
Sc 0.3861 0.3861 0.2278
Cr 0.2500 0.7500 0.5000
Cr 0.7500 0.2500 0.5000
Te 0.0000 0.0000 0.0000

---

No. 6
DFT (GGA-PBE) results for a relaxed Sc2Tl3CrTe6 crystal.

Summary:
SG: C2/m (12)
Formation energy from raw total energies, meV per atom: -676
Magnetization, μB per atom: 0.26

Lattice parameters (Å, degrees): 7.2902 7.2902 8.4216 98.29 98.29 120.01
Each line ends with the local moment (μB).
Atoms (fractional coordinates):
Te 0.7483 0.7483 0.2024  -0.05
Te 0.9358 0.6170 0.8051  -0.04
Te 0.0642 0.3830 0.1949  -0.04
Te 0.2517 0.2517 0.7976  -0.05
Te 0.3830 0.0642 0.1949  -0.04
Te 0.6170 0.9358 0.8051  -0.04
Sc 0.3345 0.6655 0.0000  0.02
Sc 0.6655 0.3345 0.0000  0.02
Tl 0.8262 0.1738 0.5000  0.00
Tl 0.1738 0.8262 0.5000  0.00
Tl 0.5000 0.5000 0.5000  0.00
Cr 0.0000 0.0000 0.0000  3.13

---

No. 7
DFT (GGA-PBE) results for a relaxed Sc3Tl4CrTe8 crystal.

Summary:
SG: R-3m (166)
Formation energy from raw total energies, meV per atom: -734
Magnetization, μB per atom: 0.20

Lattice parameters (Å, degrees): 8.4678 9.4027 8.4694 116.80 119.99 90.00
Each line ends with the local moment (μB).
Atoms (fractional coordinates):
Te 0.7726 0.3024 0.5451  -0.04
Te 0.7352 0.7056 0.4705  0.00
Te 0.2272 0.6973 0.9703  -0.04
Te 0.2569 0.3027 0.0297  -0.04
Te 0.7728 0.3027 0.0297  -0.04
Te 0.7431 0.6973 0.9703  -0.04
Te 0.2274 0.6976 0.4549  -0.04
Te 0.2648 0.2944 0.5295  0.00
Tl 0.0000 0.0000 0.0000  0.00
Tl 0.0000 0.0000 0.5000  0.00
Tl 0.5000 0.0000 0.5000  0.00
Tl 0.5000 0.0000 0.0000  -0.02
Sc 0.0000 0.5000 0.5000  0.02
Sc 0.5000 0.5000 0.5000  0.02
Sc 0.5000 0.5000 0.0000  0.02
Cr 0.0000 0.5000 0.0000  3.23

---

No. 8
DFT (GGA-PBE) results for a relaxed Sc2Ti2Cr crystal.

Summary:
ΔE_f, meV/atom: 800
SG: I4/mmm (139)
Magnetization, μB per atom: 0.00

Lattice parameters (Å, degrees): 3.7467 3.7467 7.2335 74.99 74.99 90.00
Atoms (fractional coordinates):
Ti 0.5825 0.5825 0.8349
Ti 0.4175 0.4175 0.1651
Sc 0.2500 0.7500 0.5000
Sc 0.7500 0.2500 0.5000
Cr 0.0000 0.0000 0.0000

---

No. 9
DFT (GGA-PBE) results for a relaxed Sc2TiCr2 crystal.

Summary:
ΔE_f, meV/atom: 363
SG: P4/mbm (127)
Magnetization, μB per atom: 0.04

Lattice parameters (Å, degrees): 7.4304 7.4304 3.2196 90.00 90.00 90.00
Each line ends with the local moment (μB).
Atoms (fractional coordinates):
Ti 0.5000 0.5000 0.0000  0.03
Ti 0.0000 0.0000 0.0000  0.03
Cr 0.0918 0.4082 0.0000  0.06
Cr 0.5918 0.0918 0.0000  0.06
Cr 0.9082 0.5918 0.0000  0.06
Cr 0.4082 0.9082 0.0000  0.06
Sc 0.6991 0.8009 0.5000  0.00
Sc 0.1991 0.6991 0.5000  0.00
Sc 0.8009 0.3009 0.5000  0.00
Sc 0.3009 0.1991 0.5000  0.00

---

No. 10
DFT (GGA-PBE) results for a relaxed Sc2Ti2Cr crystal.

Summary:
ΔE_f, meV/atom: 255
SG: P4/mbm (127)
Magnetization, μB per atom: 0.21

Lattice parameters (Å, degrees): 6.2791 6.2791 4.8303 90.00 90.00 90.00
Each line ends with the local moment (μB).
Atoms (fractional coordinates):
Cr 0.0000 0.0000 0.0000  1.12
Cr 0.5000 0.5000 0.0000  1.11
Ti 0.3501 0.8501 0.0000  -0.04
Ti 0.1499 0.3501 0.0000  -0.05
Ti 0.8501 0.6499 0.0000  -0.05
Ti 0.6499 0.1499 0.0000  -0.04
Sc 0.8287 0.3287 0.5000  -0.02
Sc 0.1713 0.6713 0.5000  -0.02
Sc 0.3287 0.1713 0.5000  -0.02
Sc 0.6713 0.8287 0.5000  -0.02

---

Repeat the third record exactly.
DFT (GGA-PBE) results for a relaxed Sc4CrTe crystal.

Summary:
SG: F-43m (216)
Formation energy from raw total energies, meV per atom: 356
Magnetization, μB per atom: 0.72

Lattice parameters (Å, degrees): 5.8718 5.8718 5.8718 60.00 60.00 60.00
Each line ends with the local moment (μB).
Atoms (fractional coordinates):
Cr 0.0000 0.0000 0.0000  3.73
Sc 0.3739 0.3739 0.8783  -0.02
Sc 0.8783 0.3739 0.3739  -0.02
Sc 0.3739 0.3739 0.3739  -0.02
Sc 0.3739 0.8783 0.3739  -0.02
Te 0.7500 0.7500 0.7500  0.00